Entry 1:
The following is a PBE calculation of Pa13Ga2 after structural relaxation, from Alexandria.

The structure belongs to space group P-1 (No. 2); the cell edges are 5.5267, 7.9091 and 8.6169 Å and the angles 107.73°, 95.81° and 90.62°. The inequivalent atoms are Pa at (0.0000, 0.0000, 0.0000), Pa at (0.1235, 0.2483, 0.7760), Pa at (0.1972, 0.3973, 0.2002), Pa at (0.2547, 0.5287, 0.5905), Pa at (0.3281, 0.6656, 0.9995), Pa at (0.3886, 0.8121, 0.4093), Pa at (0.4656, 0.9317, 0.7897) and Ga at (0.0712, 0.1385, 0.3942).

The calculation puts the formation enthalpy at 0 K at -0.090 eV/atom. The volume comes out at 23.77 Å³ per atom. The total moment is 0.0 μB/f.u.

Entry 2:
The following is a PBE calculation of NaLiSbTe3 after structural relaxation, from Alexandria.

The structure belongs to space group P2_1/m (No. 11); the cell edges are 9.4217, 4.5303 and 9.5362 Å and the angles 90.00°, 112.01° and 90.00°. The inequivalent atoms are Na at (0.2334, 0.2500, 0.2181), Li at (0.4366, 0.7500, 0.8969), Sb at (0.1644, 0.2500, 0.6747), Te at (0.1409, 0.7500, 0.8926), Te at (0.1799, 0.7500, 0.4610) and Te at (0.4765, 0.7500, 0.2003).

The volume comes out at 31.45 Å³ per atom. The value obtained for the formation energy from raw total energies is -0.464 eV per atom. The total moment is 0.0 μB/f.u.

Q: Look up the volume of the first one.
A: 23.77 Å³ per atom